First-principles (PBE) data for Hf2BeCo3 after structural relaxation, as listed in the Alexandria database.

Structure (POSCAR):
```
Hf2BeCo3
1.0
-1.9711 2.3460 4.6506
1.9711 -2.3460 4.6506
1.9711 2.3460 -4.6506
Hf Be Co
2 1 3
Direct
0.1999 0.1999 0.0000
0.8001 0.8001 0.0000
0.5000 0.5000 0.0000
0.0000 0.5000 0.5000
0.3819 0.8819 0.5000
0.6181 0.1181 0.5000
```

raw total energy = -7.53 eV/atom
relative energy among the computed polymorphs = 372 meV per atom
spin magnetization = 0.7 Bohr magnetons per cell

=====

First-principles (PBE) data for Ac2Cu9Ag after structural relaxation, as listed in the Alexandria database.

Structure (POSCAR):
```
Ac2Cu9Ag
1.0
2.6312 1.5191 8.5497
-2.6312 1.5191 8.5497
0.0000 -3.0383 8.5497
Ac Cu Ag
2 9 1
Direct
0.1317 0.1317 0.1317
0.8683 0.8683 0.8683
0.0777 0.5755 0.5755
0.3325 0.3325 0.3325
0.4245 0.4245 0.9223
0.4245 0.9223 0.4245
0.5000 0.5000 0.5000
0.5755 0.0777 0.5755
0.5755 0.5755 0.0777
0.6675 0.6675 0.6675
0.9223 0.4245 0.4245
0.0000 0.0000 0.0000
```

raw total energy = -3.95 eV/atom
spin magnetization = 0.0 Bohr magnetons per cell

=====

First-principles (PBE) data for LiInRh4 after structural relaxation, as listed in the Alexandria database.

Structure (POSCAR):
```
LiInRh4
1.0
0.0000 3.6550 3.6550
3.6550 0.0000 3.6550
3.6550 3.6550 0.0000
Li In Rh
1 1 4
Direct
0.0000 0.0000 0.0000
0.2500 0.2500 0.2500
0.1248 0.6251 0.6251
0.6251 0.1248 0.6251
0.6251 0.6251 0.1248
0.6251 0.6251 0.6251
```

raw total energy = -5.72 eV/atom
spin magnetization = 0.1 Bohr magnetons per cell

=====

Number 1: formation energy -0.25 eV per formula unit. Number 2: formation energy 0.49 eV per formula unit. Number 3: formation energy -0.28 eV per formula unit.